{
  "formula": "YCoGe2",
  "functional": "GGA-PBE",
  "state": "optimized geometry",
  "lattice_angstrom": [[0.000, 3.277, 3.277], [3.277, 0.000, 3.277], [3.277, 3.277, 0.000]],
  "species": ["Y", "Ge", "Ge", "Co"],
  "fractional_positions": [[0.500, 0.500, 0.500], [0.250, 0.250, 0.250], [0.750, 0.750, 0.750], [0.000, 0.000, 0.000]],
  "spacegroup": "Fm-3m (225)",
  "mass_density_g_cm3": 6.9,
  "m_tot_mub_per_cell": 0.01,
  "e_tot_ev_per_atom": -5.837
}